18
Lattice="5.808 0.000 0.000 -2.904 5.030 0.000 0.000 0.000 11.033" Properties=species:S:1:pos:R:3 comment="KTmCrF6, optimized geometry, DFT PBE with a Hubbard U" total_energy_ev_per_cell=-106.96 space_group="No. 163" pbc="T T T"
F -1.812 3.152 3.890
F -0.732 5.023 1.626
F 2.172 0.007 7.143
F 1.092 1.878 9.407
F 1.812 3.152 1.626
F -1.080 1.885 1.626
F 3.635 0.007 9.407
F 4.716 1.878 7.143
F 1.080 1.885 3.890
F 3.984 3.145 9.407
F 0.732 5.023 3.890
F 1.824 3.145 7.143
K 0.000 0.000 5.516
K 0.000 0.000 0.000
Cr 2.904 1.677 8.275
Cr 0.000 3.353 2.758
Tm 0.000 3.353 8.275
Tm 2.904 1.677 2.758